# 1
CaInHg6 after structural relaxation, computed with PBE.

a = 5.2839 Å, b = 6.7363 Å, c = 11.6560 Å
α = 90.00°, β = 90.00°, γ = 90.00°
Closest atoms and distances in Å follow each position.
Space group Amm2 (No. 38)
Inequivalent atoms, fractional coordinates:
Ca 0.0000 0.0000 0.0000 [2 per cell]  12 Hg 3.29-3.37
In 0.5000 0.0000 0.6684 [2 per cell]  12 Hg 3.29-3.37
Hg 0.0000 0.0000 0.4994 [2 per cell]  8 Hg 3.27-3.40, 2 In 3.30, 2 Ca 3.37
Hg 0.0000 0.2460 0.2518 [4 per cell]  8 Hg 3.27-3.42, 2 In 3.29, 2 Ca 3.36-3.37
Hg 0.5000 0.0000 0.1686 [2 per cell]  8 Hg 3.27-3.39, 2 Ca 3.29, 2 In 3.37
Hg 0.5000 0.2467 0.4169 [4 per cell]  8 Hg 3.27-3.41, 2 Ca 3.29, 2 In 3.36-3.37

---

# 2
Ca2InHg after structural relaxation, computed with PBE.

a = 4.2180 Å, b = 4.2180 Å, c = 6.8239 Å
α = 90.00°, β = 90.00°, γ = 90.00°
Closest atoms and distances in Å follow each position.
Space group P4mm (No. 99)
Inequivalent atoms, fractional coordinates:
Ca 0.0000 0.0000 0.0000 [1 per cell]  2 Hg 3.25-3.58, 4 In 3.25
Ca 0.5000 0.5000 0.3418 [1 per cell]  1 In 3.19, 4 Hg 3.23
In 0.5000 0.5000 0.8100 [1 per cell]  5 Ca 3.19-3.25, 4 Hg 3.56
Hg 0.0000 0.0000 0.5240 [1 per cell]  6 Ca 3.23-3.58, 4 In 3.56

---

# 3
CaIn2Hg after structural relaxation, computed with PBE.

a = 6.4567 Å, b = 11.1732 Å, c = 3.5049 Å
α = 90.00°, β = 119.31°, γ = 90.00°
Closest atoms and distances in Å follow each position.
Space group C2/m (No. 12)
Inequivalent atoms, fractional coordinates:
Ca 0.0000 0.0000 0.0000 [2 per cell]  4 Hg 3.23-3.41, 4 In 3.27, 2 Ca 3.50
In 0.2500 0.2500 0.5000 [4 per cell]  6 In 3.23-3.50, 2 Hg 3.27, 2 Ca 3.27
Hg 0.0000 0.5000 0.0000 [2 per cell]  4 Ca 3.23-3.41, 4 In 3.27, 2 Hg 3.50

---

# 4
CaInHg2 after structural relaxation, computed with PBE.

a = 7.4082 Å, b = 7.4082 Å, c = 7.4082 Å
α = 90.00°, β = 90.00°, γ = 90.00°
Closest atoms and distances in Å follow each position.
Space group F-43m (No. 216)
Inequivalent atoms, fractional coordinates:
Ca 0.0000 0.0000 0.0000 [4 per cell]  4 Hg 3.21, 4 In 3.21
In 0.2500 0.2500 0.2500 [4 per cell]  4 Hg 3.21, 4 Ca 3.21
Hg 0.0000 0.0000 0.5000 [4 per cell]  4 Hg 3.21, 4 In 3.21
Hg 0.2500 0.2500 0.7500 [4 per cell]  4 Ca 3.21, 4 Hg 3.21

---

In μB per cell, the size of the total moment values for the records above are, in order, 0.000, 0.000, 0.000, 0.000.
In eV/atom, the ΔH_f (0 K) values for the records above are, in order, -0.189, -0.318, -0.217, -0.275.